DFT (GGA-PBE) results for La2NdSm6Er3 after structural relaxation.

Cell lengths 6.281, 10.886, 12.008 Å; angles 90.00, 100.07, 90.00 degrees
Space group C2/m (No. 12)
Asymmetric unit:
La: 0.000 0.167 0.000 [4 per cell]
Nd: 0.000 0.500 0.000 [2 per cell]
Sm: 0.247 0.500 0.743 [4 per cell]
Sm: 0.248 0.166 0.743 [8 per cell]
Er: 0.000 0.000 0.500 [2 per cell]
Er: 0.000 0.334 0.500 [4 per cell]


DFT (GGA-PBE) results for La2NdSm4Er after structural relaxation.

Cell lengths 5.156, 5.170, 10.344 Å; angles 90.00, 90.06, 90.00 degrees
Space group P2/m (No. 10)
Asymmetric unit:
La: 0.000 0.000 0.000 [1 per cell]
La: 0.500 0.500 0.500 [1 per cell]
Nd: 0.000 0.000 0.500 [1 per cell]
Sm: 0.000 0.500 0.247 [2 per cell]
Sm: 0.500 0.000 0.248 [2 per cell]
Er: 0.500 0.500 0.000 [1 per cell]


DFT (GGA-PBE) results for LaNdSmEr after structural relaxation.

Excess energy over the best structure of this formula in the dataset = 0.36 eV/f.u.

Cell lengths 8.196, 8.196, 8.196 Å; angles 90.00, 90.00, 90.00 degrees
Space group F-43m (No. 216)
Asymmetric unit:
La: 0.000 0.000 0.000 [4 per cell]
Nd: 0.000 0.000 0.500 [4 per cell]
Sm: 0.250 0.250 0.250 [4 per cell]
Er: 0.250 0.250 0.750 [4 per cell]


DFT (GGA-PBE) results for LaNdSmEr3 after structural relaxation.

Cell lengths 19.962, 5.628, 7.107 Å; angles 90.00, 90.23, 90.00 degrees
Space group C2/m (No. 12)
Asymmetric unit:
La: 0.146 0.000 0.040 [4 per cell]
Nd: 0.054 0.500 0.261 [4 per cell]
Sm: 0.149 0.000 0.462 [4 per cell]
Er: 0.024 0.000 0.743 [4 per cell]
Er: 0.164 0.500 0.740 [4 per cell]
Er: 0.222 0.500 0.246 [4 per cell]


DFT (GGA-PBE) results for La2Nd3SmEr6 after structural relaxation.

Cell lengths 6.253, 10.830, 11.826 Å; angles 90.00, 100.19, 90.00 degrees
Space group C2/m (No. 12)
Asymmetric unit:
La: 0.000 0.167 0.000 [4 per cell]
Nd: 0.000 0.000 0.500 [2 per cell]
Nd: 0.000 0.333 0.500 [4 per cell]
Sm: 0.000 0.500 0.000 [2 per cell]
Er: 0.249 0.500 0.749 [4 per cell]
Er: 0.250 0.166 0.749 [8 per cell]


DFT (GGA-PBE) results for La2NdSm2Er after structural relaxation.

Cell lengths 7.150, 5.781, 9.986 Å; angles 90.00, 90.00, 90.00 degrees
Space group Pmma (No. 51)
Asymmetric unit:
La: 0.000 0.000 0.000 [2 per cell]
La: 0.250 0.500 0.176 [2 per cell]
Nd: 0.250 0.000 0.659 [2 per cell]
Sm: 0.250 0.000 0.333 [2 per cell]
Sm: 0.250 0.500 0.834 [2 per cell]
Er: 0.000 0.500 0.500 [2 per cell]


Number 1: density of states at the Fermi level 17.8 states/eV/f.u., calculated formation energy 0.0224 eV/atom. Number 2: density of states at the Fermi level 13.1 states/eV/f.u., calculated formation energy 0.0238 eV/atom. Number 3: density of states at the Fermi level 7.9 states/eV/f.u., calculated formation energy 0.1112 eV/atom. Number 4: density of states at the Fermi level 8.9 states/eV/f.u., calculated formation energy 0.1866 eV/atom. Number 5: density of states at the Fermi level 13.3 states/eV/f.u., calculated formation energy 0.0151 eV/atom. Number 6: density of states at the Fermi level 9.7 states/eV/f.u., calculated formation energy 0.0547 eV/atom.